Material: CeHo2Er
Method: DFT, PBE-GGA
State: relaxed

Computed properties:
D(E_F) in states/eV/atom: 1.66
DFT total energy in eV per cell: -19.39
Calculated formation energy in kJ/mol of formula units: 25
Offset from the most stable computed form in kcal/mol of atoms: 0.23

Structure (POSCAR):
```
CeHo2Er
1.0
4.963 0.000 0.000
0.000 4.963 0.000
0.000 0.000 4.968
Ce Ho Er
1 2 1
direct
0.000 0.000 0.000
0.000 0.500 0.500
0.500 0.000 0.500
0.500 0.500 0.000
```